The following is a DFT calculation (GGA-PBEsol) of an optimized crystal structure of Fe6O5F7.

a = 9.163 Å, b = 6.308 Å, c = 7.650 Å
α = 90.00°, β = 118.14°, γ = 90.00°
Space group C2 (No. 5)
Symmetry-distinct sites (fractional):
Fe 0.000 0.000 0.000 x2
Fe 0.000 0.034 0.500 x2
Fe 0.149 0.538 0.651 x4
Fe 0.182 0.543 0.172 x4
O 0.000 0.713 0.000 x2
O 0.153 0.237 0.660 x4
O 0.156 0.837 0.664 x4
F 0.000 0.321 0.000 x2
F 0.074 0.534 0.356 x4
F 0.108 0.032 0.293 x4
F 0.231 0.030 0.036 x4

Values from the calculation:
crystal system	monoclinic
electronic total energy	-6.826	eV/atom
calculated volume	10.830	Å³/atom
energy relative to the elements, uncorrected	-1.631	eV per atom
magnetization	15.6	μB/f.u.